# GGA-PBE PuTaTi2, relaxed
# relative energy among the computed polymorphs	24	meV/atom
# ΔH_f (0 K)	0.1656	eV/atom
data_PuTaTi2
_chemical_formula_sum 'Pu1 Ta1 Ti2'
_cell_length_a 4.255
_cell_length_b 4.255
_cell_length_c 4.179
_cell_angle_alpha 90.00
_cell_angle_beta 90.00
_cell_angle_gamma 90.00
_space_group_name_H-M_alt 'P 4/m m m'
_space_group_IT_number 123
_space_group_name_Hall '-P 4 2'
loop_
_atom_site_label
_atom_site_type_symbol
_atom_site_fract_x
_atom_site_fract_y
_atom_site_fract_z
Pu1 Pu 0.000 0.000 0.000
Ta1 Ta 0.500 0.500 0.000
Ti1 Ti 0.000 0.500 0.500